Record 1
The following is a DFT calculation (PBE) of a relaxed structure of Rb2AcSnO4.

Calculated values
VASP energy   -5.608 eV per atom
Calculated density   4904 kg/m³
Formation energy from raw total energies   -1.87 eV per atom
Total moment   0.00 μB/f.u.

Cell lengths 6.623, 6.623, 6.623 Å; angles 122.63, 122.63, 85.50 degrees
Positions (direct):
Rb: 0.000 0.000 0.000
Rb: 0.750 0.250 0.500
Ac: 0.500 0.500 0.000
Sn: 0.250 0.750 0.500
O: 0.208 0.635 0.116
O: 0.365 0.480 0.573
O: 0.520 0.093 0.884
O: 0.907 0.792 0.427

***

Record 2
The following is a DFT calculation (PBE) of a relaxed structure of BeHg3.

Calculated values
VASP energy   -0.885 eV per atom
Formation energy   0.273 eV per atom
Calculated density   11595 kg/m³
Total moment   0.00 μB/f.u.

Cell lengths 6.458, 8.916, 6.076 Å; angles 90.00, 90.00, 90.00 degrees
Positions (direct):
Be: 0.138 0.250 0.065
Be: 0.362 0.750 0.565
Be: 0.638 0.250 0.435
Be: 0.862 0.750 0.935
Hg: 0.113 0.750 0.254
Hg: 0.130 0.565 0.765
Hg: 0.130 0.935 0.765
Hg: 0.370 0.065 0.265
Hg: 0.370 0.435 0.265
Hg: 0.387 0.250 0.754
Hg: 0.613 0.750 0.246
Hg: 0.630 0.565 0.735
Hg: 0.630 0.935 0.735
Hg: 0.870 0.065 0.235
Hg: 0.870 0.435 0.235
Hg: 0.887 0.250 0.746

***

Record 3
The following is a DFT calculation (PBE) of a relaxed structure of Dy2MnZn.

Calculated values
VASP energy   -4.458 eV per atom
Formation energy   0.454 eV per atom
Calculated density   7341 kg/m³
Total moment   3.31 μB/f.u.

Cell lengths 10.917, 10.917, 10.917 Å; angles 17.33, 17.33, 17.33 degrees
Positions (direct):
Dy: 0.095 0.095 0.095
Dy: 0.905 0.905 0.905
Mn: 0.500 0.500 0.500
Zn: 0.000 0.000 0.000

***

Record 4
The following is a DFT calculation (PBE) of a relaxed structure of RbNa2MgGa.

Calculated values
VASP energy   -1.593 eV per atom
Formation energy   0.052 eV per atom
Calculated density   2009 kg/m³
Total moment   0.00 μB/f.u.

Cell lengths 5.950, 5.950, 5.264 Å; angles 90.00, 90.00, 90.00 degrees
Positions (direct):
Rb: 0.000 0.000 0.000
Na: 0.000 0.500 0.500
Na: 0.500 0.000 0.500
Mg: 0.500 0.500 0.000
Ga: 0.500 0.500 0.500

***

Record 5
The following is a DFT calculation (PBE) of a relaxed structure of Th2InAg3.

Calculated values
VASP energy   -4.566 eV per atom
Formation energy   -0.211 eV per atom
Calculated density   10433 kg/m³
Total moment   0.00 μB/f.u.

Cell lengths 9.975, 9.259, 6.000 Å; angles 78.47, 65.42, 36.11 degrees
Positions (direct):
Th: 0.242 0.758 0.758
Th: 0.250 0.250 0.250
Th: 0.750 0.750 0.750
Th: 0.758 0.242 0.242
In: 0.334 0.334 0.666
In: 0.666 0.666 0.334
Ag: 0.166 0.166 0.834
Ag: 0.167 0.668 0.332
Ag: 0.332 0.833 0.167
Ag: 0.668 0.167 0.833
Ag: 0.833 0.332 0.668
Ag: 0.834 0.834 0.166

***

Record 6
The following is a DFT calculation (PBE) of a relaxed structure of Mn2NiCl.

Calculated values
VASP energy   -5.929 eV per atom
Calculated density   5944 kg/m³
Formation energy from raw total energies   0.56 eV per atom
Total moment   0.66 μB/f.u.

Cell lengths 4.320, 4.320, 4.320 Å; angles 60.00, 60.00, 60.00 degrees
Positions (direct):
Mn: 0.000 0.000 0.000
Mn: 0.250 0.250 0.250
Ni: 0.750 0.750 0.750
Cl: 0.500 0.500 0.500

***

> What is the calculated density in the sixth record?

5944 kg/m³